Below is an optimized crystal structure of Li2ZnGeS4, with properties calculated at the PBE level.

```
Li2ZnGeS4
1.0
6.3112 0.0000 0.0000
0.0000 6.9011 0.0000
0.0000 0.0000 7.5119
Li Zn Ge S
4 2 2 8
Cartesian
3.1971 5.7358 1.9026 Li
0.0415 1.1653 1.8534 Li
0.0415 1.1653 5.6585 Li
3.1971 5.7358 5.6093 Li
3.1780 2.4332 0.0000 Zn
0.0224 4.4679 3.7559 Zn
0.0407 4.5746 0.0000 Ge
3.1963 2.3265 3.7559 Ge
5.5480 2.4917 0.0000 S
2.3924 4.4094 3.7559 S
5.6436 5.6999 1.8210 S
2.4880 1.2012 1.9349 S
2.4880 1.2012 5.5769 S
5.6436 5.6999 5.6909 S
2.2837 4.5923 0.0000 S
5.4393 2.3088 3.7559 S
```

Summary:
**E**: -66.64 eV per cell